# 1
! CdAs2P, optimized geometry, DFT GGA-PBE; values from VASP
&SYSTEM
  ibrav = 0, nat = 4, ntyp = 3
/
ATOMIC_SPECIES
As 74.92 As.upf
P 30.97 P.upf
Cd 112.41 Cd.upf
ATOMIC_POSITIONS angstrom
As -0.2697 0.0628 0.0346
P -15.2333 3.5479 1.9553
Cd -5.0778 1.1826 0.6518
As -9.8858 2.3025 1.2689
CELL_PARAMETERS angstrom
-7.1198 1.2032 -1.1754
-6.9540 0.0151 2.2721
-6.2373 3.5123 1.5104
! **Energy above the most stable polymorph in this dataset**: 0.18 eV/f.u.
! **E_form**: 156 meV per atom



# 2
! Pr5Dy4Sc, optimized geometry, DFT GGA-PBE; values from VASP
&SYSTEM
  ibrav = 0, nat = 10, ntyp = 3
/
ATOMIC_SPECIES
Pr 140.91 Pr.upf
Dy 162.50 Dy.upf
Sc 44.96 Sc.upf
ATOMIC_POSITIONS angstrom
Pr -11.3281 3.7124 13.1754
Pr -7.8171 2.1168 9.8404
Pr -14.8249 5.3014 16.4967
Pr -0.8092 -1.0677 3.1842
Pr -4.3060 0.5213 6.5055
Dy -6.8406 3.1086 6.4974
Dy -13.8598 6.2984 13.1645
Dy -10.3509 4.7038 9.8316
Sc 0.0000 0.0000 0.0000
Dy -3.3317 1.5140 3.1645
CELL_PARAMETERS angstrom
-0.9162 -3.4528 0.6874
2.4736 -0.1259 2.6645
-17.1915 7.8124 16.3290
! **E_form**: 25 meV per atom



# 3
! TaMnRu2, optimized geometry, DFT GGA-PBE; values from VASP
&SYSTEM
  ibrav = 0, nat = 4, ntyp = 3
/
ATOMIC_SPECIES
Ta 180.95 Ta.upf
Ru 101.07 Ru.upf
Mn 54.94 Mn.upf
ATOMIC_POSITIONS angstrom
Ta 3.7778 2.2719 0.0000
Ru 0.0528 0.0317 0.0000
Ru 2.7491 -0.3573 1.2646
Mn 1.3964 1.9273 1.2698
CELL_PARAMETERS angstrom
5.1524 0.0005 -0.0052
2.4159 4.5510 0.0052
-3.3765 -2.9536 2.5344
! **Energy above the most stable polymorph in this dataset**: 0.76 eV/f.u.
! **E_form**: -71 meV per atom



# 4
! CsCuSnF6, optimized geometry, DFT GGA-PBE; values from VASP
&SYSTEM
  ibrav = 0, nat = 9, ntyp = 4
/
ATOMIC_SPECIES
Cu 63.55 Cu.upf
F 19.00 F.upf
Sn 118.71 Sn.upf
Cs 132.91 Cs.upf
ATOMIC_POSITIONS angstrom
Cu 5.8072 3.3496 3.1894
F 1.2481 1.8321 2.0445
Sn 2.9044 1.6745 3.1893
F 2.2131 0.1615 4.3344
Cs 0.0039 -0.0018 6.3783
F 3.5940 0.1659 2.0397
F 1.9431 3.0258 4.3392
F 4.5577 1.8298 4.3368
F 3.8650 3.0282 2.0412
CELL_PARAMETERS angstrom
5.8039 0.0034 0.0019
2.9049 5.0237 -0.0013
0.0023 -0.0032 6.3784
! **Uncorrected formation energy**: -2.271 eV/atom



# 5
! TaReO2F, optimized geometry, DFT GGA-PBE; values from VASP
&SYSTEM
  ibrav = 0, nat = 5, ntyp = 4
/
ATOMIC_SPECIES
F 19.00 F.upf
Ta 180.95 Ta.upf
Re 186.21 Re.upf
O 16.00 O.upf
ATOMIC_POSITIONS angstrom
F 0.0000 0.0000 2.1731
Ta 0.0000 0.0000 0.0000
Re 2.0117 2.0117 2.1731
O 0.0000 2.0117 0.0000
O 2.0117 0.0000 0.0000
CELL_PARAMETERS angstrom
4.0233 0.0000 0.0000
0.0000 4.0233 0.0000
0.0000 0.0000 4.3462
! **Uncorrected formation energy**: -0.646 eV/atom



# 6
! MgMnTe2, optimized geometry, DFT GGA-PBE; values from VASP
&SYSTEM
  ibrav = 0, nat = 4, ntyp = 3
/
ATOMIC_SPECIES
Mn 54.94 Mn.upf
Te 127.60 Te.upf
Mg 24.30 Mg.upf
ATOMIC_POSITIONS angstrom
Mn -3.2847 -1.5076 -2.5973
Te 0.0000 0.0000 0.0000
Mg -2.9412 -4.4741 -5.8974
Te -1.8132 -3.7099 -1.6604
CELL_PARAMETERS angstrom
-4.4126 -2.2718 -6.8343
-1.4697 -6.6763 -4.9605
0.7844 3.7306 7.5371
! **Uncorrected formation energy**: -0.110 eV/atom



# 7
! Rb2PF, optimized geometry, DFT GGA-PBE; values from VASP
&SYSTEM
  ibrav = 0, nat = 4, ntyp = 3
/
ATOMIC_SPECIES
Rb 85.47 Rb.upf
F 19.00 F.upf
P 30.97 P.upf
ATOMIC_POSITIONS angstrom
Rb -2.3166 5.3797 8.4142
Rb -0.7722 1.7932 2.8047
F 0.0000 0.0000 0.0000
P -1.5444 3.5865 5.6095
CELL_PARAMETERS angstrom
0.2381 0.0661 5.5751
0.8231 4.8136 2.7008
-4.1500 2.2932 2.9430
! **Energy above the most stable polymorph in this dataset**: 0.77 eV/f.u.
! **Uncorrected formation energy**: -0.763 eV/atom



# 8
! TlZnCo2, optimized geometry, DFT GGA-PBE; values from VASP
&SYSTEM
  ibrav = 0, nat = 4, ntyp = 3
/
ATOMIC_SPECIES
Co 58.93 Co.upf
Tl 204.38 Tl.upf
Zn 65.41 Zn.upf
ATOMIC_POSITIONS angstrom
Co -5.1231 -0.6486 5.9841
Tl -3.4154 -0.4324 3.9894
Zn 0.0000 0.0000 0.0000
Co -1.7077 -0.2162 1.9947
CELL_PARAMETERS angstrom
-1.5471 -2.6336 3.0302
-1.1304 1.5709 3.8427
-4.1532 0.1979 1.1060
! **Energy above the most stable polymorph in this dataset**: 0.23 eV/f.u.
! **E_form**: 354 meV per atom